(1)
The following is a GGA-PBE calculation of a relaxed structure of Nd2Si3Rh5, from Alexandria via LeMat-Bulk.

The space group is Cmc2_1 (No. 36) and the conventional cell measures 4.069, 25.139 and 6.637 Å, with angles of 90.00, 90.00 and 90.00 degrees. The asymmetric unit holds Nd at (0.000, 0.016, 0.000), Nd at (0.000, 0.323, 0.983), Si at (0.000, 0.114, 0.233), Si at (0.000, 0.272, 0.472), Si at (0.000, 0.442, 0.206), Rh at (0.000, 0.103, 0.655), Rh at (0.000, 0.208, 0.176), Rh at (0.000, 0.212, 0.767), Rh at (0.000, 0.368, 0.475) and Rh at (0.000, 0.435, 0.841).

The calculation puts the raw formation energy at -0.8355 eV per atom. Its density of states at the Fermi level is 22.12 states/eV per cell.

---

(2)
The following is a GGA-PBE calculation of a relaxed structure of NdSi2Rh4, from Alexandria via LeMat-Bulk.

The space group is Pnma (No. 62) and the conventional cell measures 16.849, 4.065 and 6.514 Å, with angles of 90.00, 90.00 and 90.00 degrees. The asymmetric unit holds Nd at (0.139, 0.250, 0.003), Si at (0.038, 0.750, 0.267), Si at (0.214, 0.250, 0.529), Rh at (0.029, 0.750, 0.856), Rh at (0.072, 0.250, 0.493), Rh at (0.183, 0.750, 0.318) and Rh at (0.200, 0.750, 0.732).

The calculation puts the raw formation energy at -0.8358 eV per atom. Its density of states at the Fermi level is 12.08 states/eV per cell. As for the energy above the most stable polymorph in this dataset: 12 meV per atom.

---

| no. | V (Å³/atom) | energy (eV/cell) |
| --- | --- | --- |
| 1 | 16.97 | -283.666 |
| 2 | 15.93 | -203.482 |